Record 1
Compound: ErCdHg2
Source: the Alexandria database
Functional: meta-GGA SCAN
Structure: PBEsol geometry

Lattice parameters (Å, degrees): 4.957 4.957 4.957 60.00 60.00 60.00
Atoms (fractional coordinates):
Cd  0.500  0.500  0.500
Er  0.000  0.000  0.000
Hg  0.250  0.250  0.250
Hg  0.750  0.750  0.750

Electronic total energy = -219.04 eV/cell
Calculated formation energy = -1.96 eV/f.u.
V = 86.2 Å³/cell
Total moment = 0.0 Bohr magnetons per cell

---

Record 2
Compound: Ti2Zn2Hg
Source: the Alexandria database
Functional: meta-GGA SCAN
Structure: PBEsol geometry

Lattice parameters (Å, degrees): 3.499 6.759 6.759 90.00 90.00 90.00
Atoms (fractional coordinates):
Hg  0.000  0.000  0.000
Hg  0.000  0.500  0.500
Ti  0.500  0.167  0.667
Ti  0.500  0.667  0.833
Ti  0.500  0.833  0.333
Ti  0.500  0.333  0.167
Zn  0.000  0.372  0.872
Zn  0.000  0.628  0.128
Zn  0.000  0.128  0.372
Zn  0.000  0.872  0.628

Electronic total energy = -256.41 eV/cell
Calculated formation energy = -0.95 eV/f.u.
V = 159.8 Å³/cell
Total moment = 0.0 Bohr magnetons per cell

---

Record 3
Compound: Mn3Se
Source: the Alexandria database
Functional: meta-GGA SCAN
Structure: PBEsol geometry

Lattice parameters (Å, degrees): 3.117 4.045 4.350 107.04 111.00 90.00
Site moments in Bohr magnetons follow the coordinates.
Atoms (fractional coordinates):
Mn  0.253  0.746  0.506  2.55
Mn  0.500  0.500  0.000  1.84
Mn  0.747  0.254  0.494  2.55
Se  0.000  0.000  0.000  -0.10

Electronic total energy = -74.45 eV/cell
ΔE_f (raw) = 0.39 eV/f.u.
V = 48.6 Å³/cell
Total moment = 6.9 Bohr magnetons per cell
Relative energy among the computed polymorphs = 0.160 eV/atom

---

Record 4
Compound: TlCo2Tc
Source: the Alexandria database
Functional: meta-GGA SCAN
Structure: PBEsol geometry

Lattice parameters (Å, degrees): 2.761 4.500 4.500 104.32 90.00 90.00
Site moments in Bohr magnetons follow the coordinates.
Atoms (fractional coordinates):
Tl  0.500  0.500  0.500  -0.06
Tc  0.500  0.000  0.000  0.58
Co  0.000  0.500  0.000  1.63
Co  0.000  0.000  0.500  1.63

Electronic total energy = -139.45 eV/cell
Calculated formation energy = 2.57 eV/f.u.
V = 54.2 Å³/cell
Total moment = 3.7 Bohr magnetons per cell
Relative energy among the computed polymorphs = 0.170 eV/atom

---

Record 5
Compound: Sc2AgHg2
Source: the Alexandria database
Functional: meta-GGA SCAN
Structure: PBEsol geometry

Lattice parameters (Å, degrees): 3.708 7.481 7.481 90.00 90.00 90.00
Atoms (fractional coordinates):
Sc  0.500  0.336  0.164
Sc  0.500  0.664  0.836
Sc  0.500  0.164  0.664
Sc  0.500  0.836  0.336
Hg  0.000  0.637  0.137
Hg  0.000  0.137  0.363
Hg  0.000  0.863  0.637
Hg  0.000  0.363  0.863
Ag  0.000  0.000  0.000
Ag  0.000  0.500  0.500

Electronic total energy = -396.99 eV/cell
Calculated formation energy = -2.32 eV/f.u.
V = 207.6 Å³/cell
Total moment = 0.0 Bohr magnetons per cell

---

Record 6
Compound: KTa2Br
Source: the Alexandria database
Functional: meta-GGA SCAN
Structure: PBEsol geometry

Lattice parameters (Å, degrees): 2.699 5.533 7.476 111.72 90.00 90.00
Atoms (fractional coordinates):
Br  0.500  0.000  0.000
Ta  0.000  0.500  0.500
Ta  0.000  0.000  0.500
K  0.500  0.500  0.000

Electronic total energy = -156.10 eV/cell
ΔE_f (raw) = 4.86 eV/f.u.
V = 103.7 Å³/cell
Total moment = 0.0 Bohr magnetons per cell
Relative energy among the computed polymorphs = 0.000 eV/atom

---

Record 7
Compound: InOsSeO2
Source: the Alexandria database
Functional: meta-GGA SCAN
Structure: PBEsol geometry

Lattice parameters (Å, degrees): 3.822 3.822 6.035 90.00 90.00 90.00
Site moments in Bohr magnetons follow the coordinates.
Atoms (fractional coordinates):
In  0.000  0.000  0.000  0.01
O  0.500  0.000  0.000  0.35
O  0.000  0.500  0.000  0.35
Se  0.500  0.500  0.500  0.14
Os  0.000  0.000  0.500  1.80

Electronic total energy = -134.44 eV/cell
ΔE_f (raw) = 3.37 eV/f.u.
V = 88.1 Å³/cell
Total moment = 3.1 Bohr magnetons per cell

---

Record 8
Compound: RbZr2Ti
Source: the Alexandria database
Functional: meta-GGA SCAN
Structure: PBEsol geometry

Lattice parameters (Å, degrees): 5.152 5.152 5.152 60.00 60.00 60.00
Site moments in Bohr magnetons follow the coordinates.
Atoms (fractional coordinates):
Zr  0.250  0.250  0.250  0.47
Zr  0.750  0.750  0.750  0.47
Ti  0.000  0.000  0.000  1.53
Rb  0.500  0.500  0.500  0.05

Electronic total energy = -93.45 eV/cell
Calculated formation energy = 4.72 eV/f.u.
V = 96.7 Å³/cell
Total moment = 3.8 Bohr magnetons per cell